Computed, not measured: a relaxed structure of ZnCd2Hg at the PBE level of DFT.

The structure in POSCAR format:
```
ZnCd2Hg
1.0
5.039 -0.355 0.082
3.926 3.179 0.082
0.901 0.284 5.009
Cd Zn Hg
2 1 1
direct
0.504 0.504 0.485
0.996 0.996 0.015
0.250 0.250 0.250
0.750 0.750 0.750
```

Symmetry: C2/m
Calculated volume, Å³/cell: 86.9
ΔE to the lowest computed polymorph, meV/atom: 0.0
M_tot, μB/f.u.: 0.00
Energy relative to the elements, eV/atom: 0.052

---

Computed, not measured: a relaxed structure of ZnCd2Hg at the PBE level of DFT.

The structure in POSCAR format:
```
ZnCd2Hg
1.0
4.492 0.000 0.000
0.000 3.609 0.078
0.000 2.586 5.474
Cd Hg Zn
2 1 1
direct
0.500 0.340 0.287
0.000 0.902 0.950
0.000 0.694 0.482
0.500 0.564 0.781
```

Symmetry: Pm
Calculated volume, Å³/cell: 87.8
ΔE to the lowest computed polymorph, meV/atom: 15.8
M_tot, μB/f.u.: 0.00
Energy relative to the elements, eV/atom: 0.068

---

Computed, not measured: a relaxed structure of ZnCd5Hg8 at the PBE level of DFT.

The structure in POSCAR format:
```
ZnCd5Hg8
1.0
7.638 0.016 -0.028
-2.569 7.193 0.028
-2.499 -3.629 6.239
Cd Hg Zn
5 8 1
direct
0.951 0.389 0.114
0.886 0.837 0.275
0.500 0.000 0.500
0.438 0.163 0.049
0.725 0.611 0.562
0.168 0.762 0.583
0.594 0.415 0.832
0.647 0.891 0.892
0.108 0.755 0.999
0.821 0.238 0.406
0.001 0.109 0.756
0.244 0.245 0.353
0.417 0.585 0.179
0.250 0.500 0.750
```

Symmetry: I-4
Calculated volume, Å³/cell: 343.0
M_tot, μB/f.u.: 0.00
Energy relative to the elements, eV/atom: 0.041

---

> Look up the energy relative to the elements of the third one.

0.041 eV/atom